## Dy4Te2CBr (GGA-PBE)

Data for crystalline Dy4Te2CBr at its relaxed geometry.

## Properties
* energy relative to the elements, uncorrected: -1.022 eV per atom
* total magnetization: 0.00 μB per formula unit
* space-group type: No. 10
* D(E_F): 3.19 states/eV/f.u.
* final energy: -43.77 eV for the cell shown

a = 3.981 Å, b = 7.274 Å, c = 7.254 Å
α = 72.07°, β = 90.00°, γ = 90.00°
Fractional positions:
Dy 0.000 0.707 0.713
Dy 0.000 0.293 0.287
Dy 0.500 0.694 0.305
Dy 0.500 0.306 0.695
Te 0.000 0.000 0.000
Te 0.500 0.000 0.500
C 0.000 0.500 0.500
Br 0.500 0.500 0.000